Entry 1:
Density functional theory data (PBE) for a relaxed structure of Sr3LiS.

Computed properties:
**Volume**: 205 Å³/cell
**Distance to the lowest polymorph of the same formula**: 0.00 kJ/mol of atoms
**N(E_F)**: 3.942 states/eV per cell
**ΔE_f (raw)**: -68.94 kJ per mole of atoms

a b c (Å): 5.898 5.898 5.898
angles (deg): 90.00 90.00 90.00
Positions (direct):
Sr1 0.000 0.000 0.500
Sr2 0.000 0.500 0.000
Sr3 0.500 0.000 0.000
Li1 0.500 0.500 0.500
S1 0.000 0.000 0.000



Entry 2:
Density functional theory data (PBE) for a relaxed structure of Te2SBr2.

Computed properties:
**Volume**: 448 Å³/cell
**ΔE_f (raw)**: -7.34 kJ per mole of atoms

a b c (Å): 9.089 9.089 10.628
angles (deg): 114.70 114.70 34.60
Positions (direct):
Te1 0.084 0.084 0.302
Te2 0.296 0.296 0.264
Te3 0.704 0.704 0.736
Te4 0.916 0.916 0.698
S1 0.143 0.143 0.138
S2 0.857 0.857 0.862
Br1 0.183 0.183 0.785
Br2 0.467 0.467 0.733
Br3 0.533 0.533 0.267
Br4 0.817 0.817 0.215



Entry 3:
Density functional theory data (PBE) for a relaxed structure of Cu2RuI.

Computed properties:
**Volume**: 140 Å³/cell
**Distance to the lowest polymorph of the same formula**: 0.00 kJ/mol of atoms
**N(E_F)**: 9.053 states/eV per cell
**ΔE_f (raw)**: 80.41 kJ per mole of atoms

a b c (Å): 5.801 5.801 5.801
angles (deg): 101.73 101.73 126.40
Positions (direct):
Cu1 0.114 0.125 0.489
Cu2 0.375 0.886 0.011
Cu3 0.636 0.625 0.511
Cu4 0.875 0.364 0.989
Ru1 0.000 0.000 0.000
Ru2 0.750 0.250 0.500
I1 0.250 0.750 0.500
I2 0.500 0.500 0.000